# SbIr2Ru

An optimized crystal structure of SbIr2Ru (GGA-PBE, Alexandria via LeMat-Bulk).

CIF file:
```
data_SbIr2Ru
_cell_length_a 4.009
_cell_length_b 4.009
_cell_length_c 7.814
_cell_angle_alpha 90.00
_cell_angle_beta 90.00
_cell_angle_gamma 90.00
_space_group_name_H-M_alt 'I 4/m m m'
_space_group_IT_number 139
_space_group_name_Hall '-I 4 2'
loop_
_atom_site_label
_atom_site_type_symbol
_atom_site_fract_x
_atom_site_fract_y
_atom_site_fract_z
Sb1 Sb 0.000 0.000 0.000
Ir1 Ir 0.000 0.500 0.250
Ru1 Ru 0.000 0.000 0.500
```

Output
E_form (uncorrected), eV per atom: 0.17
Density, g cm⁻³: 16.06